1:
{
  "formula": "SrTaGa",
  "functional": "PBE",
  "state": "relaxed",
  "magnetic_moment_mub_per_atom": 0.537,
  "spacegroup": "F-43m (216)",
  "vol_a3_per_atom": 26.7,
  "cell": [[2.682, 3.129, 2.536], [-0.728, 0.510, 4.757], [3.299, -1.632, 3.141]],
  "species": ["Ga", "Sr", "Ta"],
  "fractional_positions": [[0.000, 0.000, 0.000], [0.250, 0.250, 0.250], [0.750, 0.750, 0.750]]
}

2:
{
  "formula": "SrTaGa",
  "functional": "PBE",
  "state": "relaxed",
  "magnetic_moment_mub_per_atom": 0.812,
  "spacegroup": "F-43m (216)",
  "vol_a3_per_atom": 30.4,
  "cell": [[3.206, -2.415, 3.065], [1.495, 2.171, 4.308], [-1.618, -1.803, 4.431]],
  "species": ["Ga", "Sr", "Ta"],
  "fractional_positions": [[0.250, 0.250, 0.250], [0.000, 0.000, 0.000], [0.750, 0.750, 0.750]]
}

Which of them is least stable? Easy: 2.

1:
{
  "formula": "SrGaTc",
  "functional": "PBE",
  "state": "relaxed",
  "magnetic_moment_mub_per_atom": 0.906,
  "spacegroup": "F-43m (216)",
  "vol_a3_per_atom": 29.5,
  "cell": [[-4.985, 0.142, 0.361], [-2.468, 4.205, -1.110], [-2.800, 0.238, -4.136]],
  "species": ["Ga", "Sr", "Tc"],
  "fractional_positions": [[0.250, 0.250, 0.250], [0.000, 0.000, 0.000], [0.750, 0.750, 0.750]]
}

2:
{
  "formula": "SrGaTc",
  "functional": "PBE",
  "state": "relaxed",
  "magnetic_moment_mub_per_atom": 0.473,
  "spacegroup": "F-43m (216)",
  "vol_a3_per_atom": 24.6,
  "cell": [[0.000, 3.331, 3.331], [3.331, 0.000, 3.331], [3.331, 3.331, 0.000]],
  "species": ["Ga", "Sr", "Tc"],
  "fractional_positions": [[0.000, 0.000, 0.000], [0.250, 0.250, 0.250], [0.750, 0.750, 0.750]]
}

Which of them is least stable? Easy: 1.

1:
{
  "formula": "SrGa3Tc",
  "functional": "PBE",
  "state": "relaxed",
  "magnetic_moment_mub_per_atom": 0.001,
  "spacegroup": "Pm-3m (221)",
  "vol_a3_per_atom": 23.1,
  "cell": [[-1.193, -1.943, -4.307], [-0.661, -4.330, 2.136], [-4.678, 1.107, 0.797]],
  "species": ["Ga", "Ga", "Ga", "Sr", "Tc"],
  "fractional_positions": [[0.500, 0.000, 0.000], [0.000, 0.500, 0.000], [0.000, 0.000, 0.500], [0.500, 0.500, 0.500], [0.000, 0.000, 0.000]]
}

2:
{
  "formula": "SrGa3Tc",
  "functional": "PBE",
  "state": "relaxed",
  "magnetic_moment_mub_per_atom": 0.000,
  "spacegroup": "P4/nmm (129)",
  "vol_a3_per_atom": 22.5,
  "cell": [[-1.188, -3.854, -5.403], [6.203, -2.599, 0.490], [-1.736, -3.588, 2.941]],
  "species": ["Ga", "Ga", "Ga", "Ga", "Ga", "Ga", "Sr", "Sr", "Tc", "Tc"],
  "fractional_positions": [[0.250, 0.250, 0.000], [0.750, 0.250, 0.000], [0.250, 0.750, 0.000], [0.750, 0.750, 0.000], [0.500, 0.000, 0.397], [0.000, 0.500, 0.603], [0.000, 0.000, 0.500], [0.500, 0.500, 0.500], [0.000, 0.500, 0.116], [0.500, 0.000, 0.884]]
}

Which of them is least stable? Easy: 1.